# 1
# MgMo2Br

An optimized crystal structure of MgMo2Br (PBE, Alexandria).

**Uncorrected energy**: -21.434 eV/cell
**Crystal system**: tetragonal
**Symmetry**: P4/mmm (123)

a b c (Å): 2.8701 2.8701 8.6166
angles (deg): 90.00 90.00 90.00
Last column: nearest neighbours and their distance in Å.
Element x y z (fractional)
Mo 0.0000 0.0000 0.0076  4 Mo 2.87, 4 Br 2.91, 4 Mg 3.01
Mo 0.0000 0.0000 0.4924  4 Mo 2.87, 4 Br 2.91, 4 Mg 3.01
Br 0.5000 0.5000 0.2500  4 Br 2.87, 8 Mo 2.91
Mg 0.5000 0.5000 0.7500  4 Mg 2.87, 8 Mo 3.01

# 2
# TbTmGeSe

An optimized crystal structure of TbTmGeSe (PBE, Alexandria).

**Uncorrected energy**: -22.681 eV/cell
**Crystal system**: trigonal
**Symmetry**: R3m (160)

a b c (Å): 4.1107 4.1107 7.1597
angles (deg): 73.32 73.32 60.00
Last column: nearest neighbours and their distance in Å.
Element x y z (fractional)
Tm 0.9397 0.9397 0.1808  3 Ge 2.85, 3 Se 2.94
Tb 0.4487 0.4487 0.6539  3 Ge 2.88, 3 Se 2.99
Ge 0.1956 0.1956 0.4132  3 Tm 2.85, 3 Tb 2.88
Se 0.6924 0.6924 0.9229  3 Tm 2.94, 3 Tb 2.99

# 3
# Pm3SnHg5

An optimized crystal structure of Pm3SnHg5 (PBE, Alexandria).

**Crystal system**: hexagonal
**Symmetry**: P6_3/mcm (193)
**Calculated formation energy**: -0.47 eV/atom

a b c (Å): 6.4880 9.1412 9.1416
angles (deg): 120.00 90.00 90.00
Last column: nearest neighbours and their distance in Å.
Element x y z (fractional)
Hg 0.5000 0.6667 0.3333  8 Hg 3.24-3.41, 6 Pm 3.49
Hg 0.2500 0.3452 0.3452  5 Pm 3.02-3.25
Hg 0.0000 0.6667 0.3333  8 Hg 3.24-3.41, 6 Pm 3.49
Hg 0.7500 0.0000 0.3452  5 Pm 3.02-3.25
Hg 0.7500 0.6548 0.6548  5 Pm 3.02-3.25
Hg 0.5000 0.3333 0.6667  8 Hg 3.24-3.41, 6 Pm 3.49
Hg 0.7500 0.3451 0.0000  5 Pm 3.02-3.25
Hg 0.0000 0.3333 0.6667  8 Hg 3.24-3.41, 6 Pm 3.49
Hg 0.2500 0.0000 0.6548  5 Pm 3.02-3.25
Hg 0.2500 0.6549 0.0000  5 Pm 3.02-3.25
Pm 0.2500 0.0000 0.3249  5 Hg 3.02-3.25
Pm 0.7500 0.6750 0.0000  5 Hg 3.02-3.25
Pm 0.7500 0.3250 0.3249  5 Hg 3.02-3.25
Pm 0.7500 0.0000 0.6751  5 Hg 3.02-3.25
Pm 0.2500 0.6750 0.6751  5 Hg 3.02-3.25
Pm 0.2500 0.3250 0.0000  5 Hg 3.02-3.25
Sn 0.0000 0.0000 0.0000  2 Sn 3.24, 6 Pm 3.38, 6 Hg 3.55
Sn 0.5000 0.0000 0.0000  2 Sn 3.24, 6 Pm 3.38, 6 Hg 3.55

# 4
# V4Sb2N

An optimized crystal structure of V4Sb2N (PBE, Alexandria).

**Uncorrected energy**: -55.449 eV/cell
**Crystal system**: tetragonal
**Symmetry**: I4/mmm (139)

a b c (Å): 4.0353 4.0353 7.2589
angles (deg): 73.86 73.86 90.00
Last column: nearest neighbours and their distance in Å.
Element x y z (fractional)
V 0.1433 0.1433 0.7134  1 N 1.91
V 0.8567 0.8567 0.2866  1 N 1.91
V 0.0000 0.5000 0.0000  2 N 2.02
V 0.5000 0.0000 0.0000  2 N 2.02
Sb 0.6498 0.6498 0.7005  9 V 2.76-2.85
Sb 0.3502 0.3502 0.2995  9 V 2.76-2.85
N 0.0000 0.0000 0.0000  6 V 1.91-2.02

# 5
# Nd6C2Se3Cl

An optimized crystal structure of Nd6C2Se3Cl (PBE, Alexandria).

**Uncorrected energy**: -74.653 eV/cell
**Crystal system**: monoclinic
**Symmetry**: C2/m (12)

a b c (Å): 3.9749 8.3473 9.1322
angles (deg): 103.14 102.57 90.00
Last column: nearest neighbours and their distance in Å.
Element x y z (fractional)
Se 0.1578 0.8369 0.3157  6 Nd 2.92-3.15
Se 0.5000 0.5000 0.0000  6 Nd 2.86-3.07
Se 0.8422 0.1631 0.6843  6 Nd 2.92-3.15
Nd 0.6765 0.5619 0.3531  3 C 2.69-2.74
Nd 0.6754 0.1312 0.3509  2 C 2.63, 1 Se 2.92
Nd 0.3246 0.8688 0.6491  2 C 2.63, 1 Se 2.92
Nd 0.3235 0.4381 0.6469  3 C 2.69-2.74
Nd 0.9765 0.7299 0.9530  1 C 2.52
Nd 0.0235 0.2701 0.0470  1 C 2.52
Cl 0.5000 0.0000 0.0000  6 Nd 2.96-3.06
C 0.8310 0.6670 0.6621  6 Nd 2.52-2.74
C 0.1690 0.3330 0.3379  6 Nd 2.52-2.74

# 6
# Sr2Ca5Cd3

An optimized crystal structure of Sr2Ca5Cd3 (PBE, Alexandria).

**Crystal system**: monoclinic
**Symmetry**: C2/c (15)
**Calculated formation energy**: -0.17 eV/atom

a b c (Å): 6.9352 10.5849 10.5848
angles (deg): 102.75 98.11 98.11
Last column: nearest neighbours and their distance in Å.
Element x y z (fractional)
Ca 0.7500 0.5013 0.4987  4 Cd 3.39-3.48, 2 Ca 3.47
Ca 0.9166 0.7464 0.8440  3 Cd 3.21-3.29, 1 Ca 3.56
Ca 0.0417 0.9599 0.2697  4 Cd 3.40-3.45, 1 Ca 3.56, 1 Sr 3.75
Ca 0.5834 0.1560 0.2536  3 Cd 3.21-3.29, 1 Ca 3.56
Ca 0.4166 0.8440 0.7464  3 Cd 3.21-3.29, 1 Ca 3.56
Ca 0.0834 0.2536 0.1560  3 Cd 3.21-3.29, 1 Ca 3.56
Ca 0.9583 0.0401 0.7303  4 Cd 3.40-3.45, 1 Ca 3.56, 1 Sr 3.75
Ca 0.2500 0.4987 0.5013  4 Cd 3.39-3.48, 2 Ca 3.47
Ca 0.4583 0.7303 0.0401  4 Cd 3.40-3.45, 1 Ca 3.56, 1 Sr 3.75
Ca 0.5417 0.2697 0.9599  4 Cd 3.40-3.45, 1 Ca 3.56, 1 Sr 3.75
Sr 0.0591 0.4095 0.8191  3 Cd 3.50-3.77, 2 Ca 3.75-3.80
Sr 0.5591 0.8191 0.4095  3 Cd 3.50-3.77, 2 Ca 3.75-3.80
Sr 0.9409 0.5905 0.1809  3 Cd 3.50-3.77, 2 Ca 3.75-3.80
Sr 0.4409 0.1809 0.5905  3 Cd 3.50-3.77, 2 Ca 3.75-3.80
Cd 0.4456 0.4953 0.2159  5 Ca 3.21-3.48, 2 Sr 3.50-3.54
Cd 0.2500 0.9965 0.0035  8 Ca 3.23-3.45, 2 Cd 3.47
Cd 0.9456 0.2159 0.4953  5 Ca 3.21-3.48, 2 Sr 3.50-3.54
Cd 0.0544 0.7841 0.5047  5 Ca 3.21-3.48, 2 Sr 3.50-3.54
Cd 0.5544 0.5047 0.7841  5 Ca 3.21-3.48, 2 Sr 3.50-3.54
Cd 0.7500 0.0035 0.9965  8 Ca 3.23-3.45, 2 Cd 3.47

# 7
# IrRuI2

An optimized crystal structure of IrRuI2 (PBE, Alexandria).

**Uncorrected energy**: -16.447 eV/cell
**Crystal system**: cubic
**Symmetry**: Fm-3m (225)

a b c (Å): 4.8203 4.8203 4.8203
angles (deg): 60.00 60.00 60.00
Last column: nearest neighbours and their distance in Å.
Element x y z (fractional)
Ru 0.0000 0.0000 0.0000  8 I 2.95
Ir 0.5000 0.5000 0.5000  8 I 2.95
I 0.2500 0.2500 0.2500  4 Ir 2.95, 4 Ru 2.95
I 0.7500 0.7500 0.7500  4 Ru 2.95, 4 Ir 2.95

# 8
# YZnGaNi3

An optimized crystal structure of YZnGaNi3 (PBE, Alexandria).

**Crystal system**: orthorhombic
**Symmetry**: Cmcm (63)
**Calculated formation energy**: -0.22 eV/atom

a b c (Å): 5.5908 5.7061 6.5665
angles (deg): 115.75 90.00 90.00
Last column: nearest neighbours and their distance in Å.
Element x y z (fractional)
Ga 0.2500 0.3567 0.7134  5 Ni 2.48-2.50
Ga 0.7500 0.6433 0.2866  5 Ni 2.48-2.50
Zn 0.7500 0.0716 0.1431  5 Ni 2.34-2.58
Zn 0.2500 0.9284 0.8569  5 Ni 2.34-2.58
Y 0.7500 0.3052 0.6105  1 Zn 2.76, 2 Ga 2.86, 6 Ni 2.91-2.94
Y 0.2500 0.6948 0.3895  1 Zn 2.76, 2 Ga 2.86, 6 Ni 2.91-2.94
Ni 0.5000 0.7076 0.0000  2 Zn 2.34, 1 Ni 2.37, 2 Ga 2.50
Ni 0.2500 0.1468 0.2935  1 Ga 2.48, 1 Zn 2.58
Ni 0.5000 0.2924 0.0000  2 Zn 2.34, 1 Ni 2.37, 2 Ga 2.50
Ni 0.0000 0.7076 0.0000  2 Zn 2.34, 1 Ni 2.37, 2 Ga 2.50
Ni 0.7500 0.8532 0.7065  1 Ga 2.48, 1 Zn 2.58
Ni 0.0000 0.2924 0.0000  2 Zn 2.34, 1 Ni 2.37, 2 Ga 2.50

# 9
# BiSO2

An optimized crystal structure of BiSO2 (PBE, Alexandria).

**Uncorrected energy**: -41.442 eV/cell
**Crystal system**: monoclinic
**Symmetry**: Cm (8)

a b c (Å): 3.6756 7.2078 6.5094
angles (deg): 90.00 122.20 90.00
Last column: nearest neighbours and their distance in Å.
Element x y z (fractional)
S 0.1683 0.5000 0.3905  2 O 1.56
S 0.1683 0.0000 0.8905  2 O 1.56
O 0.4180 0.3294 0.3803  1 S 1.56
O 0.4180 0.6706 0.3803  1 S 1.56
O 0.4180 0.1706 0.8803  1 S 1.56
O 0.4180 0.8294 0.8803  1 S 1.56
Bi 0.3841 0.0000 0.3946  2 O 2.38
Bi 0.3841 0.5000 0.8946  2 O 2.38

# 10
# TbPtRh

An optimized crystal structure of TbPtRh (PBE, Alexandria).

**Crystal system**: orthorhombic
**Symmetry**: Imma (74)
**Calculated formation energy**: -0.94 eV/atom

a b c (Å): 5.3979 5.3979 5.3979
angles (deg): 89.86 120.08 120.08
Last column: nearest neighbours and their distance in Å.
Element x y z (fractional)
Tb 0.2500 0.1257 0.8757  6 Pt 3.16-3.17, 6 Rh 3.16, 4 Tb 3.30-3.31
Tb 0.7500 0.8743 0.1243  6 Pt 3.16-3.17, 6 Rh 3.16, 4 Tb 3.30-3.31
Pt 0.0000 0.5000 0.5000  2 Pt 2.70, 4 Rh 2.70
Pt 0.5000 0.0000 0.5000  2 Pt 2.70, 4 Rh 2.70
Rh 0.5000 0.5000 0.5000  2 Rh 2.70, 4 Pt 2.70
Rh 0.0000 0.5000 0.0000  2 Rh 2.70, 4 Pt 2.70

# 11
# PmMgAu4

An optimized crystal structure of PmMgAu4 (PBE, Alexandria).

**Crystal system**: cubic
**Symmetry**: F-43m (216)
**Calculated formation energy**: -0.49 eV/atom

a b c (Å): 5.6174 5.6174 5.6174
angles (deg): 60.00 60.00 60.00
Last column: nearest neighbours and their distance in Å.
Element x y z (fractional)
Au 0.6244 0.6244 0.1267  6 Au 2.80-2.82
Au 0.6244 0.6244 0.6244  6 Au 2.80-2.82
Au 0.6244 0.1267 0.6244  6 Au 2.80-2.82
Au 0.1267 0.6244 0.6244  6 Au 2.80-2.82
Pm 0.0000 0.0000 0.0000  12 Au 3.29, 4 Mg 3.44
Mg 0.2500 0.2500 0.2500  12 Au 3.29, 4 Pm 3.44

Repeat the eleventh record exactly.
# PmMgAu4

An optimized crystal structure of PmMgAu4 (PBE, Alexandria).

**Crystal system**: cubic
**Symmetry**: F-43m (216)
**Calculated formation energy**: -0.49 eV/atom

a b c (Å): 5.6174 5.6174 5.6174
angles (deg): 60.00 60.00 60.00
Last column: nearest neighbours and their distance in Å.
Element x y z (fractional)
Au 0.6244 0.6244 0.1267  6 Au 2.80-2.82
Au 0.6244 0.6244 0.6244  6 Au 2.80-2.82
Au 0.6244 0.1267 0.6244  6 Au 2.80-2.82
Au 0.1267 0.6244 0.6244  6 Au 2.80-2.82
Pm 0.0000 0.0000 0.0000  12 Au 3.29, 4 Mg 3.44
Mg 0.2500 0.2500 0.2500  12 Au 3.29, 4 Pm 3.44

Which formula does entry 5 have? Nd6C2Se3Cl